Record 1
This record from Alexandria via LeMat-Bulk describes a geometry-optimized Mg2ReRh structure. The functional is PBE-GGA.

Results
- total magnetization (μB/atom) = 0.00
- VASP energy (Ry per atom) = -0.418
- ΔE_f (kJ/mol of formula units) = 25
- symmetry = R3m (160)
- DOS at the Fermi energy (states/eV/f.u.) = 3.0

abc: 9.6281 9.6281 9.6281
angles: 17.09 17.09 17.09
Fractional positions:
Mg (0.0092, 0.0092, 0.0092)
Mg (0.2427, 0.2427, 0.2427)
Re (0.4937, 0.4937, 0.4937)
Rh (0.7543, 0.7543, 0.7543)


Record 2
This record from Alexandria via LeMat-Bulk describes a geometry-optimized AsWCl2 structure. The functional is PBE-GGA.

Results
- total magnetization (μB/atom) = 0.41
- ΔE_f (raw) (meV/atom) = 739
- VASP energy (Ry per atom) = -0.337
- symmetry = Pmmm (47)
- DOS at the Fermi energy (states/eV/f.u.) = 2.8

abc: 2.9319 5.4356 4.5520
angles: 90.00 90.00 90.00
Site moments in Bohr magnetons follow the coordinates.
Fractional positions:
As (0.0000, 0.5000, 0.5000)  -0.03
W (0.5000, 0.0000, 0.5000)  1.27
Cl (0.0000, 0.0000, 0.0000)  0.00
Cl (0.5000, 0.5000, 0.0000)  0.04


Record 3
This record from Alexandria via LeMat-Bulk describes a geometry-optimized BaMgAl2 structure. The functional is PBE-GGA.

Results
- total magnetization (μB/atom) = 0.00
- VASP energy (Ry per atom) = -0.183
- ΔE_f (kJ/mol of formula units) = 100
- symmetry = R-3m (166)
- DOS at the Fermi energy (states/eV/f.u.) = 1.8

abc: 10.7522 10.7522 10.7522
angles: 17.98 17.98 17.98
Fractional positions:
Al (0.0103, 0.0103, 0.0103)
Al (0.4897, 0.4897, 0.4897)
Ba (0.2500, 0.2500, 0.2500)
Mg (0.7500, 0.7500, 0.7500)